(1)
Here is a relaxed MnNiMo2 crystal from the Alexandria database. Energies are from PBEsol.

## Properties
The calculation puts the energy above the most stable polymorph in this dataset at 0.025 eV per atom. The formation energy from the elements comes out at 100.9 meV/atom.

Cell: 2.584 4.257 4.725 Å, 90.00 95.49 90.00°
Atoms (fractional coordinates):
1 Mn 0.350 0.500 0.772
2 Mo 0.986 0.000 0.965
3 Mo 0.785 0.500 0.284
4 Ni 0.379 0.000 0.479

(2)
Here is a relaxed RbZrMn2 crystal from the Alexandria database. Energies are from PBEsol.

## Properties
The formation energy from the elements comes out at 1319.7 meV/atom.

Cell: 4.932 4.932 4.932 Å, 60.00 60.00 60.00°
Atoms (fractional coordinates):
1 Mn 0.250 0.250 0.250
2 Mn 0.750 0.750 0.750
3 Rb 0.000 0.000 0.000
4 Zr 0.500 0.500 0.500

(3)
Here is a relaxed Ca3Al2N4 crystal from the Alexandria database. Energies are from PBEsol.

## Properties
As for the uncorrected formation energy: -1.26 eV per atom. The calculation puts the energy above the most stable polymorph in this dataset at 0.001 eV per atom.

Cell: 5.766 9.503 9.520 Å, 111.68 90.00 90.00°
Atoms (fractional coordinates):
1 Al 0.144 0.990 0.742
2 Al 0.644 0.510 0.258
3 Al 0.856 0.010 0.258
4 Al 0.356 0.490 0.742
5 Al 0.388 0.891 0.380
6 Al 0.888 0.609 0.620
7 Al 0.612 0.109 0.620
8 Al 0.112 0.391 0.380
9 Ca 0.096 0.816 0.950
10 Ca 0.596 0.684 0.050
11 Ca 0.904 0.184 0.050
12 Ca 0.404 0.316 0.950
13 Ca 0.619 0.898 0.817
14 Ca 0.119 0.602 0.183
15 Ca 0.381 0.102 0.183
16 Ca 0.881 0.398 0.817
17 Ca 0.345 0.671 0.534
18 Ca 0.845 0.829 0.466
19 Ca 0.655 0.329 0.466
20 Ca 0.155 0.171 0.534
21 N 0.237 0.564 0.940
22 N 0.737 0.936 0.060
23 N 0.763 0.436 0.060
24 N 0.263 0.064 0.940
25 N 0.011 0.799 0.701
26 N 0.511 0.701 0.299
27 N 0.989 0.201 0.299
28 N 0.489 0.299 0.701
29 N 0.402 0.946 0.601
30 N 0.902 0.554 0.399
31 N 0.598 0.054 0.399
32 N 0.098 0.446 0.601
33 N 0.095 0.892 0.297
34 N 0.595 0.608 0.703
35 N 0.905 0.108 0.703
36 N 0.405 0.392 0.297

(4)
Here is a relaxed PS2ClO crystal from the Alexandria database. Energies are from PBEsol.

## Properties
As for the uncorrected formation energy: 0.88 eV per atom. The calculation puts the energy above the most stable polymorph in this dataset at 0.000 eV per atom.

Cell: 4.429 4.429 4.638 Å, 90.00 90.00 90.00°
Atoms (fractional coordinates):
1 P 0.000 0.000 0.000
2 S 0.000 0.500 0.000
3 S 0.500 0.000 0.000
4 O 0.500 0.500 0.500
5 Cl 0.000 0.000 0.500

(5)
Here is a relaxed Mg2ZnSb crystal from the Alexandria database. Energies are from PBEsol.

## Properties
As for the uncorrected formation energy: -0.11 eV per atom. The calculation puts the energy above the most stable polymorph in this dataset at 0.039 eV per atom.

Cell: 3.198 4.014 6.412 Å, 90.00 90.00 90.00°
Atoms (fractional coordinates):
1 Mg 0.000 0.000 0.730
2 Mg 0.000 0.000 0.270
3 Sb 0.500 0.500 0.000
4 Zn 0.500 0.500 0.500

(6)
Here is a relaxed AgAs2F crystal from the Alexandria database. Energies are from PBEsol.

## Properties
As for the uncorrected formation energy: -0.25 eV per atom.

Cell: 4.410 4.410 4.410 Å, 60.00 60.00 60.00°
Atoms (fractional coordinates):
1 As 0.250 0.250 0.250
2 As 0.750 0.750 0.750
3 Ag 0.500 0.500 0.500
4 F 0.000 0.000 0.000

(7)
Here is a relaxed Fe3NiMo6N2 crystal from the Alexandria database. Energies are from PBEsol.

## Properties
As for the uncorrected formation energy: -0.27 eV per atom.

Cell: 6.593 6.600 6.605 Å, 90.00 90.41 90.00°
Atoms (fractional coordinates):
1 Fe 0.681 0.182 0.569
2 Fe 0.319 0.682 0.431
3 Fe 0.570 0.930 0.324
4 Fe 0.073 0.572 0.185
5 Fe 0.430 0.430 0.676
6 Fe 0.927 0.072 0.815
7 Ni 0.184 0.318 0.934
8 Ni 0.816 0.818 0.066
9 Mo 0.049 0.376 0.547
10 Mo 0.951 0.876 0.453
11 Mo 0.549 0.123 0.954
12 Mo 0.451 0.623 0.046
13 Mo 0.622 0.795 0.701
14 Mo 0.123 0.702 0.800
15 Mo 0.877 0.202 0.200
16 Mo 0.378 0.295 0.299
17 Mo 0.202 0.952 0.125
18 Mo 0.296 0.050 0.629
19 Mo 0.798 0.452 0.875
20 Mo 0.704 0.550 0.371
21 N 0.874 0.625 0.625
22 N 0.126 0.125 0.375
23 N 0.375 0.875 0.877
24 N 0.625 0.375 0.123

(8)
Here is a relaxed AlSbSe2 crystal from the Alexandria database. Energies are from PBEsol.

## Properties
As for the uncorrected formation energy: -0.50 eV per atom. The calculation puts the energy above the most stable polymorph in this dataset at 0.000 eV per atom.

Cell: 3.615 3.620 8.676 Å, 101.86 90.00 119.96°
Atoms (fractional coordinates):
1 Sb 0.500 0.000 0.500
2 Al 0.000 0.000 0.000
3 Se 0.388 0.776 0.168
4 Se 0.612 0.224 0.832

(9)
Here is a relaxed Cd2MoOs crystal from the Alexandria database. Energies are from PBEsol.

## Properties
The calculation puts the energy above the most stable polymorph in this dataset at 0.347 eV per atom. The formation energy from the elements comes out at 927.4 meV/atom.

Cell: 2.934 4.752 4.752 Å, 90.00 90.00 90.00°
Atoms (fractional coordinates):
1 Cd 0.000 0.000 0.500
2 Cd 0.000 0.500 0.000
3 Mo 0.500 0.500 0.500
4 Os 0.500 0.000 0.000

(10)
Here is a relaxed Zr2InRu crystal from the Alexandria database. Energies are from PBEsol.

## Properties
The formation energy from the elements comes out at -231.5 meV/atom.

Cell: 4.051 4.051 5.423 Å, 111.93 111.93 90.00°
Atoms (fractional coordinates):
1 In 0.500 0.500 0.000
2 Ru 0.250 0.750 0.500
3 Zr 0.000 0.000 0.000
4 Zr 0.750 0.250 0.500

(11)
Here is a relaxed In2FeCl crystal from the Alexandria database. Energies are from PBEsol.

## Properties
As for the uncorrected formation energy: 0.16 eV per atom. The calculation puts the energy above the most stable polymorph in this dataset at 0.000 eV per atom.

Cell: 2.948 4.179 7.244 Å, 106.76 101.74 90.00°
Atoms (fractional coordinates):
1 Cl 0.500 0.000 0.000
2 Fe 0.000 0.500 0.000
3 In 0.679 0.679 0.358
4 In 0.321 0.321 0.642

(12)
Here is a relaxed TaBeCu2 crystal from the Alexandria database. Energies are from PBEsol.

## Properties
The formation energy from the elements comes out at 102.1 meV/atom.

Cell: 2.574 3.764 5.247 Å, 90.00 104.20 90.00°
Atoms (fractional coordinates):
1 Be 0.925 0.500 0.849
2 Cu 0.812 0.000 0.623
3 Cu 0.204 0.500 0.407
4 Ta 0.551 0.000 0.103

(13)
Here is a relaxed LiPSe2 crystal from the Alexandria database. Energies are from PBEsol.

## Properties
As for the uncorrected formation energy: -0.51 eV per atom.

Cell: 3.728 3.728 5.565 Å, 92.67 92.67 89.30°
Atoms (fractional coordinates):
1 P 0.957 0.957 0.652
2 Se 0.014 0.014 0.052
3 Se 0.517 0.517 0.566
4 Li 0.512 0.512 0.082

(14)
Here is a relaxed V5Bi17Pb5O43 crystal from the Alexandria database. Energies are from PBEsol.

## Properties
As for the uncorrected formation energy: -1.53 eV per atom.

Cell: 11.655 11.655 11.751 Å, 119.20 119.20 92.04°
Atoms (fractional coordinates):
1 V 0.971 0.662 0.301
2 V 0.662 0.971 0.301
3 V 0.971 0.971 0.952
4 V 0.352 0.673 0.684
5 V 0.673 0.352 0.684
6 Bi 0.000 0.000 0.657
7 Bi 0.004 0.304 0.640
8 Bi 0.304 0.004 0.640
9 Bi 0.631 0.349 0.988
10 Bi 0.349 0.631 0.988
11 Bi 0.655 0.655 0.624
12 Bi 0.019 0.654 0.968
13 Bi 0.654 0.019 0.968
14 Bi 0.668 0.668 0.013
15 Bi 0.999 0.339 0.978
16 Bi 0.339 0.999 0.978
17 Bi 0.003 0.646 0.643
18 Bi 0.646 0.003 0.643
19 Bi 0.010 0.350 0.324
20 Bi 0.350 0.010 0.324
21 Bi 0.016 0.016 0.321
22 Bi 0.346 0.346 0.334
23 Pb 0.331 0.331 0.661
24 Pb 0.327 0.327 0.006
25 Pb 0.331 0.654 0.318
26 Pb 0.654 0.331 0.318
27 Pb 0.660 0.660 0.329
28 O 0.690 0.468 0.859
29 O 0.468 0.690 0.859
30 O 0.047 0.047 0.901
31 O 0.495 0.495 0.371
32 O 0.205 0.379 0.161
33 O 0.379 0.205 0.161
34 O 0.043 0.548 0.772
35 O 0.548 0.043 0.772
36 O 0.047 0.229 0.802
37 O 0.229 0.047 0.802
38 O 0.778 0.600 0.530
39 O 0.600 0.778 0.530
40 O 0.017 0.754 0.492
41 O 0.754 0.017 0.492
42 O 0.962 0.798 0.866
43 O 0.798 0.962 0.866
44 O 0.062 0.062 0.156
45 O 0.788 0.231 0.108
46 O 0.231 0.788 0.108
47 O 0.510 0.510 0.952
48 O 0.115 0.523 0.034
49 O 0.523 0.115 0.034
50 O 0.228 0.401 0.797
51 O 0.401 0.228 0.797
52 O 0.010 0.511 0.243
53 O 0.511 0.010 0.243
54 O 0.786 0.605 0.179
55 O 0.605 0.786 0.179
56 O 0.188 0.566 0.598
57 O 0.566 0.188 0.598
58 O 0.907 0.437 0.432
59 O 0.437 0.907 0.432
60 O 0.840 0.359 0.739
61 O 0.359 0.840 0.739
62 O 0.060 0.241 0.449
63 O 0.241 0.060 0.449
64 O 0.595 0.414 0.165
65 O 0.414 0.595 0.165
66 O 0.031 0.766 0.264
67 O 0.766 0.031 0.264
68 O 0.070 0.070 0.552
69 O 0.404 0.600 0.560
70 O 0.600 0.404 0.560

(15)
Here is a relaxed Ti3CuGe crystal from the Alexandria database. Energies are from PBEsol.

## Properties
The formation energy from the elements comes out at 650.6 meV/atom.

Cell: 4.616 4.616 4.616 Å, 90.00 90.00 90.00°
Atoms (fractional coordinates):
1 Ge 0.000 0.000 0.000
2 Cu 0.500 0.500 0.500
3 Ti 0.000 0.500 0.000
4 Ti 0.000 0.000 0.500
5 Ti 0.500 0.000 0.000

(16)
Here is a relaxed LiOsAu2N crystal from the Alexandria database. Energies are from PBEsol.

## Properties
As for the uncorrected formation energy: 2.12 eV per atom.

Cell: 4.891 4.891 5.039 Å, 90.00 90.00 90.00°
Atoms (fractional coordinates):
1 Os 0.000 0.000 0.000
2 Li 0.000 0.000 0.500
3 Au 0.000 0.500 0.000
4 Au 0.500 0.000 0.000
5 N 0.500 0.500 0.500

(17)
Here is a relaxed Mn5Si crystal from the Alexandria database. Energies are from PBEsol.

## Properties
As for the uncorrected formation energy: -0.17 eV per atom.

Cell: 4.045 4.234 4.234 Å, 120.00 90.00 90.00°
Atoms (fractional coordinates):
1 Si 0.500 0.000 0.000
2 Mn 0.000 0.322 0.322
3 Mn 0.000 0.678 0.000
4 Mn 0.000 0.000 0.678
5 Mn 0.500 0.333 0.667
6 Mn 0.500 0.667 0.333

(18)
Here is a relaxed NaSr3IrO6 crystal from the Alexandria database. Energies are from PBEsol.

## Properties
As for the uncorrected formation energy: -2.12 eV per atom.

Cell: 6.732 6.732 6.732 Å, 90.67 90.67 90.67°
Atoms (fractional coordinates):
1 Na 0.750 0.750 0.750
2 Na 0.250 0.250 0.250
3 Sr 0.892 0.608 0.250
4 Sr 0.250 0.892 0.608
5 Sr 0.608 0.250 0.892
6 Sr 0.108 0.392 0.750
7 Sr 0.750 0.108 0.392
8 Sr 0.392 0.750 0.108
9 Ir 0.500 0.500 0.500
10 Ir 0.000 0.000 0.000
11 O 0.280 0.078 0.944
12 O 0.944 0.280 0.078
13 O 0.078 0.944 0.280
14 O 0.422 0.220 0.556
15 O 0.556 0.422 0.220
16 O 0.220 0.556 0.422
17 O 0.720 0.922 0.056
18 O 0.056 0.720 0.922
19 O 0.922 0.056 0.720
20 O 0.578 0.780 0.444
21 O 0.780 0.444 0.578
22 O 0.444 0.578 0.780

(19)
Here is a relaxed LaAl2Os crystal from the Alexandria database. Energies are from PBEsol.

## Properties
The formation energy from the elements comes out at 38.7 meV/atom.

Cell: 4.720 4.720 4.720 Å, 60.00 60.00 60.00°
Atoms (fractional coordinates):
1 Os 0.250 0.250 0.250
2 Al 0.000 0.000 0.000
3 Al 0.750 0.750 0.750
4 La 0.500 0.500 0.500

(20)
Here is a relaxed LiRe2Mo crystal from the Alexandria database. Energies are from PBEsol.

## Properties
The calculation puts the energy above the most stable polymorph in this dataset at 0.082 eV per atom. The formation energy from the elements comes out at 342.2 meV/atom.

Cell: 2.656 4.089 5.216 Å, 90.00 90.00 90.00°
Atoms (fractional coordinates):
1 Li 0.000 0.000 0.502
2 Mo 0.500 0.500 0.740
3 Re 0.000 0.000 0.011
4 Re 0.500 0.500 0.247

For reference, DOS(E_F) by record: 4.42; 3.23; 0.00; 4.99; 1.39; 1.17; 19.40; 0.69; 4.92; 3.11; 3.38; 1.39; 0.04; 0.00; 5.33; 3.13; 4.55; 9.39; 3.40; 2.69 states/eV/cell.
For reference, calculated total energy by record: -39.1; -24.4; -240.1; -17.4; -10.0; -16.4; -248.0; -18.4; -22.7; -32.3; -16.3; -24.8; -17.5; -474.1; -31.0; -19.9; -55.5; -143.2; -25.6; -39.0 eV for the cell shown.